This record from Alexandria via LeMat-Bulk describes K3Cd8Au3 after structural relaxation. The functional is GGA-PBE.

As for the space group: C2/m, No. 12. The calculation puts the formation enthalpy at 0 K at -0.18 eV/atom. The density of states at the Fermi level comes out at 0.33 states/eV/atom. The uncorrected energy comes out at -1.64 eV/atom.

The structure in POSCAR format:
```
K3Cd8Au3
1.0
8.727 -2.514 0.000
8.727 2.514 0.000
-5.615 0.000 8.413
K Cd Au
3 8 3
Direct
0.000 0.000 0.000
0.287 0.287 0.291
0.713 0.713 0.709
0.132 0.132 0.836
0.144 0.144 0.434
0.341 0.341 0.980
0.498 0.498 0.666
0.502 0.502 0.334
0.659 0.659 0.020
0.856 0.856 0.566
0.868 0.868 0.164
0.000 0.000 0.500
0.345 0.345 0.701
0.655 0.655 0.299
```